Na3GeSb: optimized geometry, PBE.

The structure belongs to space group C2/c (No. 15); the cell edges are 12.095, 12.679 and 8.807 Å and the angles 90.00°, 126.25° and 90.00°. The inequivalent atoms are Na at (0.117, 0.068, 0.018), Na at (0.161, 0.352, 0.493), Na at (0.228, 0.329, 0.181), Ge at (0.078, 0.482, 0.689), Sb at (0.000, 0.143, 0.250) and Sb at (0.000, 0.291, 0.750).

The energy above the most stable polymorph in this dataset is 0.000 eV per atom. The theoretical density is 3.21 g cm⁻³. The value obtained for the energy is -2.7949 eV/atom.